Density functional theory data (PBE-GGA) for an optimized crystal structure of Y4HoMgS8.

Cell: 7.9785 7.9785 7.9755 Å, 59.99 59.99 60.00°
Last column: nearest neighbours and their distance in Å.
Fractional positions:
Y: 0.6248 0.6248 0.1256  4 S 2.61
Y: 0.0027 0.4920 0.5026  6 S 2.75-2.76
Y: 0.4920 0.0027 0.5026  6 S 2.75-2.76
Y: 0.0027 0.0027 0.5026  6 S 2.75-2.76
Ho: 0.0028 0.0028 0.9916  6 S 2.74-2.75
Mg: 0.3749 0.3749 0.8752  4 S 2.51-2.52
S: 0.2454 0.7613 0.7479  1 Mg 2.52, 1 Ho 2.74, 2 Y 2.75
S: 0.7613 0.2454 0.7479  1 Mg 2.52, 1 Ho 2.74, 2 Y 2.75
S: 0.2454 0.2454 0.7479  1 Mg 2.52, 1 Ho 2.74, 2 Y 2.75
S: 0.2464 0.2464 0.2607  1 Mg 2.51, 3 Y 2.75
S: 0.7596 0.2240 0.2567  3 Y 2.61-2.76, 1 Ho 2.75
S: 0.2240 0.7596 0.2567  3 Y 2.61-2.76, 1 Ho 2.75
S: 0.7596 0.7596 0.2567  3 Y 2.61-2.76, 1 Ho 2.75
S: 0.7583 0.7583 0.7252  4 Y 2.61-2.76

Output
- DFT total energy: -6.57 eV/atom
- Space group: No. 160